Ca19In8N7: PBEsol geometry, meta-GGA SCAN.

abc: 10.294 10.294 10.294
angles: 60.00 60.00 60.00
Fractional positions:
Ca: 0.000 0.000 0.000
Ca: 0.000 0.000 0.328
Ca: 0.000 0.000 0.672
Ca: 0.000 0.328 0.000
Ca: 0.000 0.328 0.672
Ca: 0.000 0.672 0.000
Ca: 0.000 0.672 0.328
Ca: 0.328 0.000 0.000
Ca: 0.328 0.000 0.672
Ca: 0.328 0.672 0.000
Ca: 0.334 0.334 0.666
Ca: 0.334 0.666 0.334
Ca: 0.334 0.666 0.666
Ca: 0.666 0.334 0.334
Ca: 0.666 0.334 0.666
Ca: 0.666 0.666 0.334
Ca: 0.672 0.000 0.000
Ca: 0.672 0.000 0.328
Ca: 0.672 0.328 0.000
In: 0.025 0.325 0.325
In: 0.325 0.025 0.325
In: 0.325 0.325 0.025
In: 0.325 0.325 0.325
In: 0.675 0.675 0.675
In: 0.675 0.675 0.975
In: 0.675 0.975 0.675
In: 0.975 0.675 0.675
N: 0.174 0.174 0.826
N: 0.174 0.826 0.174
N: 0.174 0.826 0.826
N: 0.500 0.500 0.500
N: 0.826 0.174 0.174
N: 0.826 0.174 0.826
N: 0.826 0.826 0.174

Summary:
M_tot: 0.0000 μB/atom
formation energy from raw total energies: -0.857 eV/atom

***

In2P3S9: PBEsol geometry, meta-GGA SCAN.

abc: 6.867 10.472 18.125
angles: 90.00 107.04 90.00
Fractional positions:
In: 0.000 0.149 0.176
In: 0.000 0.351 0.676
In: 0.000 0.649 0.324
In: 0.000 0.851 0.824
In: 0.002 0.679 0.011
In: 0.002 0.821 0.511
In: 0.998 0.179 0.489
In: 0.998 0.321 0.989
P: 0.168 0.509 0.853
P: 0.168 0.991 0.353
P: 0.170 0.503 0.516
P: 0.170 0.997 0.016
P: 0.171 0.013 0.686
P: 0.171 0.487 0.186
P: 0.829 0.513 0.814
P: 0.829 0.987 0.314
P: 0.830 0.003 0.984
P: 0.830 0.497 0.484
P: 0.832 0.009 0.647
P: 0.832 0.491 0.147
S: 0.246 0.676 0.916
S: 0.246 0.824 0.416
S: 0.247 0.006 0.583
S: 0.247 0.012 0.918
S: 0.247 0.488 0.418
S: 0.247 0.494 0.083
S: 0.251 0.159 0.082
S: 0.251 0.341 0.582
S: 0.253 0.521 0.756
S: 0.253 0.979 0.256
S: 0.257 0.154 0.413
S: 0.257 0.346 0.913
S: 0.258 0.174 0.747
S: 0.258 0.326 0.247
S: 0.258 0.651 0.244
S: 0.258 0.849 0.744
S: 0.259 0.656 0.586
S: 0.259 0.844 0.086
S: 0.741 0.156 0.914
S: 0.741 0.344 0.414
S: 0.742 0.151 0.256
S: 0.742 0.349 0.756
S: 0.742 0.674 0.753
S: 0.742 0.826 0.253
S: 0.743 0.654 0.087
S: 0.743 0.846 0.587
S: 0.747 0.021 0.744
S: 0.747 0.479 0.244
S: 0.749 0.659 0.418
S: 0.749 0.841 0.918
S: 0.753 0.506 0.917
S: 0.753 0.512 0.582
S: 0.753 0.988 0.082
S: 0.753 0.994 0.417
S: 0.754 0.176 0.584
S: 0.754 0.324 0.084

Summary:
M_tot: 0.0000 μB/atom
formation energy from raw total energies: -0.472 eV/atom

***

Mg2CrF: PBEsol geometry, meta-GGA SCAN.

abc: 6.563 6.563 6.481
angles: 90.00 90.00 90.00
Fractional positions:
Mg: 0.160 0.750 0.125
Mg: 0.250 0.160 0.875
Mg: 0.250 0.340 0.375
Mg: 0.340 0.750 0.625
Mg: 0.660 0.250 0.625
Mg: 0.750 0.660 0.375
Mg: 0.750 0.840 0.875
Mg: 0.840 0.250 0.125
Cr: 0.000 0.000 0.500
Cr: 0.000 0.500 0.750
Cr: 0.500 0.000 0.250
Cr: 0.500 0.500 0.000
F: 0.000 0.000 0.000
F: 0.000 0.500 0.250
F: 0.500 0.000 0.750
F: 0.500 0.500 0.500

Summary:
M_tot: 1.2046 μB/atom
formation energy from raw total energies: -0.862 eV/atom

***

Y2TlTc: PBEsol geometry, meta-GGA SCAN.

abc: 4.585 3.758 10.925
angles: 90.00 90.00 90.00
Fractional positions:
Y: 0.000 0.000 0.000
Y: 0.000 0.500 0.500
Y: 0.500 0.000 0.296
Y: 0.500 0.500 0.796
Tl: 0.500 0.000 0.578
Tl: 0.500 0.500 0.078
Tc: 0.000 0.000 0.727
Tc: 0.000 0.500 0.227

Summary:
M_tot: 0.0001 μB/atom
formation energy: -0.13 eV per atom

***

Fe2PRu: PBEsol geometry, meta-GGA SCAN.

abc: 2.705 3.981 8.322
angles: 90.00 90.00 90.00
Fractional positions:
Fe: 0.000 0.000 0.000
Fe: 0.000 0.500 0.211
Fe: 0.500 0.000 0.711
Fe: 0.500 0.500 0.500
P: 0.000 0.500 0.703
P: 0.500 0.000 0.203
Ru: 0.000 0.000 0.428
Ru: 0.500 0.500 0.928

Summary:
M_tot: 1.0153 μB/atom
formation energy: -0.05 eV per atom

***

Ir2RuAu: PBEsol geometry, meta-GGA SCAN.

abc: 9.082 2.747 4.717
angles: 90.00 100.04 90.00
Fractional positions:
Ir: 0.244 0.000 0.239
Ir: 0.256 0.500 0.761
Ir: 0.744 0.500 0.239
Ir: 0.756 0.000 0.761
Ru: 0.000 0.500 0.000
Ru: 0.500 0.000 0.000
Au: 0.000 0.000 0.500
Au: 0.500 0.500 0.500

Summary:
M_tot: 0.0000 μB/atom
formation energy: 0.25 eV per atom
relative energy among the computed polymorphs: 0.0000 eV per atom